Entry 1:
YHoZn2: relaxed, GGA-PBEsol.

a b c (Å): 4.9541 4.9541 4.9541
angles (deg): 60.00 60.00 60.00
Positions (direct):
Ho 0.5000 0.5000 0.5000
Y 0.0000 0.0000 0.0000
Zn 0.2500 0.2500 0.2500
Zn 0.7500 0.7500 0.7500

## Properties
Space group: No. 225
Formation energy: -0.3508 eV/atom
Crystal system: cubic
Total energy: -4.085 eV per atom


Entry 2:
HoZn2: relaxed, GGA-PBEsol.

a b c (Å): 4.3928 5.5203 5.5203
angles (deg): 77.69 66.55 66.55
Positions (direct):
Ho 0.0331 0.7169 0.2169
Zn 0.6657 0.8812 0.7874
Zn 0.3343 0.1188 0.2126
Zn 0.3343 0.7126 0.6188
Ho 0.9669 0.2831 0.7831
Zn 0.6657 0.2874 0.3812

## Properties
Space group: No. 74
Formation energy: -0.4018 eV/atom
Crystal system: orthorhombic
Total energy: -3.107 eV per atom


Entry 3:
Ho6Zn23: relaxed, GGA-PBEsol.

a b c (Å): 8.7766 8.7766 8.7766
angles (deg): 60.00 60.00 60.00
Positions (direct):
Zn 0.8774 0.8774 0.3677
Zn 0.1226 0.1226 0.1226
Ho 0.2935 0.7065 0.7065
Ho 0.2935 0.2935 0.7065
Zn 0.3677 0.8774 0.8774
Zn 0.8774 0.8774 0.8774
Zn 0.5000 0.0000 0.5000
Zn 0.3284 0.0147 0.3284
Ho 0.7065 0.2935 0.2935
Zn 0.0000 0.0000 0.0000
Zn 0.0000 0.5000 0.0000
Zn 0.0147 0.3284 0.3284
Zn 0.1226 0.6323 0.1226
Ho 0.7065 0.2935 0.7065
Zn 0.3284 0.3284 0.3284
Zn 0.6716 0.6716 0.6716
Ho 0.7065 0.7065 0.2935
Zn 0.1226 0.1226 0.6323
Zn 0.0000 0.0000 0.5000
Zn 0.5000 0.5000 0.0000
Zn 0.6323 0.1226 0.1226
Zn 0.3284 0.3284 0.0147
Zn 0.5000 0.0000 0.0000
Zn 0.0000 0.5000 0.5000
Zn 0.6716 0.6716 0.9853
Ho 0.2935 0.7065 0.2935
Zn 0.6716 0.9853 0.6716
Zn 0.9853 0.6716 0.6716
Zn 0.8774 0.3677 0.8774

## Properties
Space group: No. 225
Formation energy: -0.3274 eV/atom
Crystal system: cubic
Total energy: -2.606 eV per atom